No. 1
Material: YTl2Hg
Method: DFT, SCAN
State: PBEsol geometry

Computed properties:
**Formation enthalpy at 0 K**: -355 meV per atom
**Uncorrected energy**: -60.536 eV/atom
**DOS at the Fermi energy**: 1.7 states/eV/f.u.

Cell lengths 5.755, 5.755, 5.755 Å; angles 133.43, 133.43, 67.99 degrees
Fractional coordinates of all 4 atoms:
1 Y 0.000 0.000 0.000
2 Tl 0.250 0.750 0.500
3 Tl 0.500 0.500 0.000
4 Hg 0.750 0.250 0.500



No. 2
Material: HgGeAs2F
Method: DFT, SCAN
State: PBEsol geometry

Computed properties:
**ΔE_f (raw)**: 842 meV/atom
**Uncorrected energy**: -25.393 eV/atom
**DOS at the Fermi energy**: 2.4 states/eV/f.u.

Cell lengths 5.062, 5.062, 5.354 Å; angles 90.00, 90.00, 90.00 degrees
Fractional coordinates of all 5 atoms:
1 Hg 0.000 0.000 0.000
2 Ge 0.000 0.000 0.500
3 As 0.000 0.500 0.000
4 As 0.500 0.000 0.000
5 F 0.500 0.500 0.500



No. 3
Material: ScIn2Au
Method: DFT, SCAN
State: PBEsol geometry

Computed properties:
**Formation enthalpy at 0 K**: -570 meV per atom
**Uncorrected energy**: -38.112 eV/atom
**DOS at the Fermi energy**: 1.6 states/eV/f.u.

Cell lengths 4.326, 4.326, 4.274 Å; angles 90.00, 90.00, 90.00 degrees
Fractional coordinates of all 4 atoms:
1 Sc 0.000 0.000 0.000
2 In 0.000 0.500 0.500
3 In 0.500 0.000 0.500
4 Au 0.500 0.500 0.000



No. 4
Material: CaSiP2
Method: DFT, SCAN
State: PBEsol geometry

Computed properties:
**ΔE_f (raw)**: -766 meV/atom
**Uncorrected energy**: -10.885 eV/atom
**DOS at the Fermi energy**: 0.0 states/eV/f.u.

Cell lengths 5.930, 11.869, 19.373 Å; angles 90.00, 90.00, 90.00 degrees
Fractional coordinates of all 64 atoms:
1 Ca 0.206 0.249 0.187
2 Ca 0.206 0.251 0.687
3 Ca 0.249 0.000 0.563
4 Ca 0.249 0.500 0.063
5 Ca 0.251 0.000 0.063
6 Ca 0.251 0.500 0.563
7 Ca 0.294 0.749 0.187
8 Ca 0.294 0.751 0.687
9 Ca 0.706 0.249 0.313
10 Ca 0.706 0.251 0.813
11 Ca 0.749 0.000 0.937
12 Ca 0.749 0.500 0.437
13 Ca 0.751 0.000 0.437
14 Ca 0.751 0.500 0.937
15 Ca 0.794 0.749 0.313
16 Ca 0.794 0.751 0.813
17 Si 0.175 0.221 0.437
18 Si 0.175 0.279 0.937
19 Si 0.199 0.528 0.812
20 Si 0.199 0.972 0.312
21 Si 0.301 0.028 0.812
22 Si 0.301 0.472 0.312
23 Si 0.325 0.721 0.437
24 Si 0.325 0.779 0.937
25 Si 0.675 0.221 0.063
26 Si 0.675 0.279 0.563
27 Si 0.699 0.528 0.688
28 Si 0.699 0.972 0.188
29 Si 0.801 0.028 0.688
30 Si 0.801 0.472 0.188
31 Si 0.825 0.721 0.063
32 Si 0.825 0.779 0.563
33 P 0.166 0.512 0.207
34 P 0.166 0.988 0.707
35 P 0.198 0.744 0.044
36 P 0.198 0.756 0.544
37 P 0.224 0.211 0.830
38 P 0.224 0.289 0.330
39 P 0.234 0.539 0.419
40 P 0.234 0.961 0.919
41 P 0.266 0.039 0.419
42 P 0.266 0.461 0.919
43 P 0.276 0.711 0.830
44 P 0.276 0.789 0.330
45 P 0.302 0.244 0.044
46 P 0.302 0.256 0.544
47 P 0.334 0.012 0.207
48 P 0.334 0.488 0.707
49 P 0.666 0.512 0.293
50 P 0.666 0.988 0.793
51 P 0.698 0.744 0.456
52 P 0.698 0.756 0.956
53 P 0.724 0.211 0.670
54 P 0.724 0.289 0.170
55 P 0.734 0.539 0.081
56 P 0.734 0.961 0.581
57 P 0.766 0.039 0.081
58 P 0.766 0.461 0.581
59 P 0.776 0.711 0.670
60 P 0.776 0.789 0.170
61 P 0.802 0.244 0.456
62 P 0.802 0.256 0.956
63 P 0.834 0.012 0.293
64 P 0.834 0.488 0.793